Arrangement i

# SiAsSe2 | the Alexandria database | meta-GGA SCAN | single point on PBEsol structure
data_SiAsSe2
_chemical_formula_sum 'Si2 As2 Se4'
_cell_length_a 3.5961
_cell_length_b 6.3889
_cell_length_c 7.3942
_cell_angle_alpha 90.00
_cell_angle_beta 90.00
_cell_angle_gamma 90.00
_space_group_name_H-M_alt 'C m m m'
_space_group_IT_number 65
_space_group_name_Hall '-C 2 2'
loop_
_atom_site_label
_atom_site_fract_x
_atom_site_fract_y
_atom_site_fract_z
Si1 0.0000 0.0000 0.0000
As1 0.0000 0.0000 0.5000
Se1 0.0000 0.5000 0.2373
# ρ	5.10	g/cm³
# Fermi-level density of states	0.462	states/eV/atom
# crystal system	orthorhombic

Arrangement ii

# SiAsSe2 | the Alexandria database | meta-GGA SCAN | single point on PBEsol structure
data_SiAsSe2
_chemical_formula_sum 'Si4 As4 Se8'
_cell_length_a 6.6032
_cell_length_b 6.6032
_cell_length_c 6.6032
_cell_angle_alpha 90.00
_cell_angle_beta 90.00
_cell_angle_gamma 90.00
_space_group_name_H-M_alt 'F -4 3 m'
_space_group_IT_number 216
_space_group_name_Hall 'F -4 2 3'
loop_
_atom_site_label
_atom_site_fract_x
_atom_site_fract_y
_atom_site_fract_z
Si1 0.0000 0.0000 0.0000
As1 0.2500 0.2500 0.2500
Se1 0.0000 0.0000 0.5000
Se2 0.2500 0.2500 0.7500
# ρ	6.02	g/cm³
# Fermi-level density of states	0.490	states/eV/atom
# crystal system	cubic

Of them, arrangement i has the highest stability.